Entry 1:
DFT (PBE) results for an optimized crystal structure of VIr4.

Summary:
The calculation puts the formation energy from the elements at 146 kJ per mole of atoms. As for the magnetic moment: 0.0 μB per formula unit. The total energy comes out at -7.4039 eV/atom. For the energy above the lowest structure with this stoichiometry, the calculation gives 5.61 eV per formula unit.

Cell lengths 4.4538, 4.4538, 4.4538 Å; angles 90.00, 90.00, 90.00 degrees
Closest atoms and distances in Å follow each position.
Space group Pm-3m (No. 221)
One atom of each set of equivalent atoms:
1 V 0.0000 0.0000 0.0000 [1 per cell]  6 Ir 2.23
2 Ir 0.0000 0.0000 0.5000 [3 per cell]  2 V 2.23
3 Ir 0.5000 0.5000 0.5000 [1 per cell]  12 Ir 3.15

---

Entry 2:
DFT (PBE) results for an optimized crystal structure of CoW.

Summary:
The calculation puts the formation energy from the elements at 163 kJ per mole of atoms. As for the magnetic moment: 0.0 μB per formula unit. The total energy comes out at -8.3366 eV/atom.

Cell lengths 7.3463, 7.3463, 7.3463 Å; angles 90.00, 90.00, 90.00 degrees
Closest atoms and distances in Å follow each position.
Space group I-43m (No. 217)
One atom of each set of equivalent atoms:
1 Co 0.1711 0.1711 0.1711 [8 per cell]  4 W 2.31-2.39
2 W 0.1410 0.1410 0.8590 [8 per cell]  4 Co 2.31-2.39

---

Entry 3:
DFT (PBE) results for an optimized crystal structure of TaReH.

Summary:
As for the magnetic moment: 0.0 μB per formula unit. The total energy comes out at -9.2491 eV/atom. For the energy above the lowest structure with this stoichiometry, the calculation gives 0.21 eV per formula unit.

Cell lengths 3.1475, 4.6581, 5.3326 Å; angles 72.55, 73.00, 90.00 degrees
Closest atoms and distances in Å follow each position.
Space group P-1 (No. 2)
One atom of each set of equivalent atoms:
1 Ta 0.1145 0.3278 0.2670 [2 per cell]  3 H 2.12-2.18
2 Re 0.3915 0.1806 0.7215 [2 per cell]  1 H 1.90
3 H 0.2715 0.7797 0.9677 [2 per cell]  1 Re 1.90

---

Entry 4:
DFT (PBE) results for an optimized crystal structure of BeAlIn2.

Summary:
The calculation puts the formation energy from the elements at 53 kJ per mole of atoms. As for the magnetic moment: 0.0 μB per formula unit. The total energy comes out at -2.6863 eV/atom. For the energy above the lowest structure with this stoichiometry, the calculation gives 1.03 eV per formula unit.

Cell lengths 6.9086, 6.9086, 6.9086 Å; angles 90.00, 90.00, 90.00 degrees
Closest atoms and distances in Å follow each position.
Space group F-43m (No. 216)
One atom of each set of equivalent atoms:
1 Be 0.0000 0.0000 0.0000 [4 per cell]  4 In 2.99, 4 Al 2.99
2 Al 0.2500 0.2500 0.2500 [4 per cell]  4 In 2.99, 4 Be 2.99
3 In 0.0000 0.0000 0.5000 [4 per cell]  4 In 2.99, 4 Al 2.99
4 In 0.2500 0.2500 0.7500 [4 per cell]  4 In 2.99, 4 Be 2.99

---

Entry 5:
DFT (PBE) results for an optimized crystal structure of CaTl2BrN.

Summary:
As for the magnetic moment: 0.0 μB per formula unit. The total energy comes out at -3.0859 eV/atom. The energy relative to the elements, uncorrected is 0.261 eV per atom.

Cell lengths 6.3627, 6.3627, 4.2028 Å; angles 90.00, 90.00, 90.00 degrees
Closest atoms and distances in Å follow each position.
Space group P4/mmm (No. 123)
One atom of each set of equivalent atoms:
1 Ca 0.0000 0.0000 0.0000 [1 per cell]  2 N 2.10
2 Tl 0.0000 0.5000 0.0000 [2 per cell]  2 Ca 3.18
3 Br 0.5000 0.5000 0.5000 [1 per cell]  8 Tl 3.81, 2 Br 4.20
4 N 0.0000 0.0000 0.5000 [1 per cell]  2 Ca 2.10

---

Entry 6:
DFT (PBE) results for an optimized crystal structure of PuPa2RhN4.

Summary:
As for the magnetic moment: 4.9 μB per formula unit. The total energy comes out at -10.4212 eV/atom. The energy relative to the elements, uncorrected is -1.174 eV per atom.

Cell lengths 3.4834, 11.5930, 11.7035 Å; angles 90.00, 90.00, 90.00 degrees
Closest atoms and distances in Å follow each position.
Space group Cmcm (No. 63)
One atom of each set of equivalent atoms:
1 Pu 0.0000 0.1098 0.2500 [4 per cell]  2 N 2.35
2 Pa 0.0000 0.3697 0.0618 [8 per cell]  5 N 2.22-2.44
3 Rh 0.0000 0.1578 0.7500 [4 per cell]  4 N 2.18-2.31
4 N 0.0000 0.0000 0.0000 [4 per cell]  4 Pa 2.42
5 N 0.0000 0.2718 0.6016 [8 per cell]  1 Rh 2.18, 3 Pa 2.22-2.44
6 N 0.0000 0.4732 0.2500 [4 per cell]  2 Rh 2.31, 2 Pu 2.35, 2 Pa 2.51

---

Entry 7:
DFT (PBE) results for an optimized crystal structure of PmEr3Tm6.

Summary:
The calculation puts the formation energy from the elements at 28 kJ per mole of atoms. As for the magnetic moment: 0.0 μB per formula unit. The total energy comes out at -4.2330 eV/atom. For the energy above the lowest structure with this stoichiometry, the calculation gives 1.45 eV per formula unit.

Cell lengths 9.6846, 9.6846, 11.6056 Å; angles 90.00, 90.00, 120.00 degrees
Closest atoms and distances in Å follow each position.
Space group R3 (No. 146, hexagonal axes)
One atom of each set of equivalent atoms:
1 Pm 0.0000 0.0000 0.0000 [3 per cell]  2 Er 2.87-2.99
2 Er 0.0000 0.0000 0.2574 [3 per cell]  1 Er 2.84, 1 Pm 2.99
3 Er 0.0000 0.0000 0.5022 [3 per cell]  2 Er 2.84-2.91
4 Er 0.0000 0.0000 0.7529 [3 per cell]  1 Pm 2.87, 1 Er 2.91
5 Tm 0.0010 0.6647 0.8263 [9 per cell]  3 Er 3.23-3.40
6 Tm 0.0040 0.3364 0.3271 [9 per cell]  1 Pm 3.25, 2 Er 3.34-3.37

---

Entry 8:
DFT (PBE) results for an optimized crystal structure of HoSc3P3.

Summary:
The calculation puts the formation energy from the elements at -126 kJ per mole of atoms. As for the magnetic moment: 0.0 μB per formula unit. The total energy comes out at -6.9897 eV/atom.

Cell lengths 8.0735, 8.0735, 8.0735 Å; angles 90.00, 90.00, 90.00 degrees
Closest atoms and distances in Å follow each position.
Space group P2_13 (No. 198)
One atom of each set of equivalent atoms:
1 Ho 0.0668 0.4332 0.5668 [4 per cell]  6 P 2.71-2.94
2 Sc 0.0675 0.5675 0.9325 [4 per cell]  3 P 2.60
3 Sc 0.1812 0.8188 0.3188 [4 per cell]  6 P 2.67-2.90
4 Sc 0.1853 0.1853 0.1853 [4 per cell]  6 P 2.65-2.94
5 P 0.0021 0.2564 0.8782 [12 per cell]  4 Sc 2.60-2.90, 1 Ho 2.71

---

What is the magnetic moment in the seventh record?
0.0 μB per formula unit